[1]
{
  "formula": "LiUCl2",
  "functional": "GGA-PBE",
  "state": "optimized geometry",
  "cell": [[1.716, 0.991, 8.422], [-1.716, 0.991, 8.422], [0.000, -1.981, 8.422]],
  "species": ["Li", "U", "Cl", "Cl"],
  "frac_coords": [[0.000, 0.000, 0.000], [0.500, 0.500, 0.500], [0.393, 0.393, 0.393], [0.607, 0.607, 0.607]],
  "magnetic_moment_mub_per_fu": 3.488,
  "e_form_raw_ev_per_fu": -4.259
}

=====

[2]
{
  "formula": "LiUCl6",
  "functional": "GGA-PBE",
  "state": "optimized geometry",
  "cell": [[3.273, -6.296, 0.000], [3.273, 6.296, 0.000], [-2.262, 0.000, 6.133]],
  "species": ["Li", "U", "Cl", "Cl", "Cl", "Cl", "Cl", "Cl"],
  "frac_coords": [[0.000, 0.000, 0.000], [0.500, 0.500, 0.500], [0.113, 0.390, 0.251], [0.265, 0.265, 0.734], [0.390, 0.113, 0.251], [0.610, 0.887, 0.749], [0.735, 0.735, 0.266], [0.887, 0.610, 0.749]],
  "magnetic_moment_mub_per_fu": 1.000,
  "e_form_raw_ev_per_fu": -13.457
}

=====

[3]
{
  "formula": "Li5U3Cl12",
  "functional": "GGA-PBE",
  "state": "optimized geometry",
  "cell": [[-7.701, 7.701, 7.701], [7.701, -7.701, 7.701], [7.701, 7.701, -7.701]],
  "species": ["Li", "Li", "Li", "Li", "Li", "Li", "Li", "Li", "Li", "Li", "Li", "Li", "Li", "Li", "Li", "Li", "Li", "Li", "Li", "Li", "U", "U", "U", "U", "U", "U", "U", "U", "U", "U", "U", "U", "Cl", "Cl", "Cl", "Cl", "Cl", "Cl", "Cl", "Cl", "Cl", "Cl", "Cl", "Cl", "Cl", "Cl", "Cl", "Cl", "Cl", "Cl", "Cl", "Cl", "Cl", "Cl", "Cl", "Cl", "Cl", "Cl", "Cl", "Cl", "Cl", "Cl", "Cl", "Cl", "Cl", "Cl", "Cl", "Cl", "Cl", "Cl", "Cl", "Cl", "Cl", "Cl", "Cl", "Cl", "Cl", "Cl", "Cl", "Cl"],
  "frac_coords": [[0.000, 0.000, 0.000], [0.000, 0.000, 0.500], [0.000, 0.500, 0.000], [0.000, 0.500, 0.500], [0.125, 0.750, 0.875], [0.125, 0.875, 0.250], [0.250, 0.125, 0.875], [0.250, 0.625, 0.375], [0.375, 0.250, 0.625], [0.375, 0.625, 0.750], [0.500, 0.000, 0.000], [0.500, 0.000, 0.500], [0.500, 0.500, 0.000], [0.500, 0.500, 0.500], [0.625, 0.375, 0.250], [0.625, 0.750, 0.375], [0.750, 0.375, 0.625], [0.750, 0.875, 0.125], [0.875, 0.125, 0.750], [0.875, 0.250, 0.125], [0.125, 0.250, 0.375], [0.125, 0.375, 0.750], [0.250, 0.375, 0.125], [0.250, 0.875, 0.625], [0.375, 0.125, 0.250], [0.375, 0.750, 0.125], [0.625, 0.250, 0.875], [0.625, 0.875, 0.750], [0.750, 0.125, 0.375], [0.750, 0.625, 0.875], [0.875, 0.625, 0.250], [0.875, 0.750, 0.625], [0.032, 0.214, 0.123], [0.032, 0.318, 0.910], [0.090, 0.623, 0.409], [0.090, 0.968, 0.682], [0.091, 0.714, 0.682], [0.091, 0.877, 0.410], [0.123, 0.032, 0.214], [0.123, 0.590, 0.909], [0.182, 0.214, 0.591], [0.182, 0.468, 0.590], [0.214, 0.123, 0.032], [0.214, 0.591, 0.182], [0.286, 0.318, 0.909], [0.286, 0.468, 0.377], [0.318, 0.909, 0.286], [0.318, 0.910, 0.032], [0.377, 0.286, 0.468], [0.377, 0.591, 0.910], [0.409, 0.090, 0.623], [0.409, 0.818, 0.786], [0.410, 0.091, 0.877], [0.410, 0.818, 0.532], [0.468, 0.377, 0.286], [0.468, 0.590, 0.182], [0.532, 0.410, 0.818], [0.532, 0.623, 0.714], [0.590, 0.182, 0.468], [0.590, 0.909, 0.123], [0.591, 0.182, 0.214], [0.591, 0.910, 0.377], [0.623, 0.409, 0.090], [0.623, 0.714, 0.532], [0.682, 0.090, 0.968], [0.682, 0.091, 0.714], [0.714, 0.532, 0.623], [0.714, 0.682, 0.091], [0.786, 0.409, 0.818], [0.786, 0.877, 0.968], [0.818, 0.532, 0.410], [0.818, 0.786, 0.409], [0.877, 0.410, 0.091], [0.877, 0.968, 0.786], [0.909, 0.123, 0.590], [0.909, 0.286, 0.318], [0.910, 0.032, 0.318], [0.910, 0.377, 0.591], [0.968, 0.682, 0.090], [0.968, 0.786, 0.877]],
  "magnetic_moment_mub_per_fu": 11.001,
  "e_form_raw_ev_per_fu": -31.425
}

=====

[4]
{
  "formula": "Li2UCl8",
  "functional": "GGA-PBE",
  "state": "optimized geometry",
  "cell": [[3.577, -5.780, 0.000], [3.577, 5.780, 0.000], [-1.694, 0.000, 6.983]],
  "species": ["Li", "Li", "U", "Cl", "Cl", "Cl", "Cl", "Cl", "Cl", "Cl", "Cl"],
  "frac_coords": [[0.247, 0.753, 0.000], [0.753, 0.247, 0.000], [0.000, 0.000, 0.500], [0.089, 0.343, 0.858], [0.221, 0.779, 0.500], [0.276, 0.276, 0.351], [0.343, 0.089, 0.858], [0.657, 0.911, 0.142], [0.724, 0.724, 0.649], [0.779, 0.221, 0.500], [0.911, 0.657, 0.142]],
  "magnetic_moment_mub_per_fu": 1.778,
  "e_form_raw_ev_per_fu": -14.598,
  "relative_energy_ev_per_atom": 0.1531
}

=====

- Number 4 is which compound?
  Li2UCl8

=====

Please write out number 1 again, unchanged.
{
  "formula": "LiUCl2",
  "functional": "GGA-PBE",
  "state": "optimized geometry",
  "cell": [[1.716, 0.991, 8.422], [-1.716, 0.991, 8.422], [0.000, -1.981, 8.422]],
  "species": ["Li", "U", "Cl", "Cl"],
  "frac_coords": [[0.000, 0.000, 0.000], [0.500, 0.500, 0.500], [0.393, 0.393, 0.393], [0.607, 0.607, 0.607]],
  "magnetic_moment_mub_per_fu": 3.488,
  "e_form_raw_ev_per_fu": -4.259
}